Record 1
The following is a GGA+U calculation of a relaxed structure of SrTl3Cr2F9, from the Alexandria database.

Summary:
E_tot	-0.3788	Ry/atom
space-group type	P-3m1
crystal system	trigonal

Cell: 6.2047 6.2047 7.8485 Å, 90.00 90.00 120.00°
With the nearest neighbours (Å) after each atom.
Sites, in units of the cell vectors:
Sr 0.0000 0.0000 0.0000  6 F 2.40
Tl 0.0000 0.0000 0.5000  12 F 3.05-3.10
Tl 0.3333 0.6667 0.2027  9 F 2.94-3.10
Tl 0.6667 0.3333 0.7973  9 F 2.94-3.10
Cr 0.3333 0.6667 0.6541  6 F 2.10-2.16
Cr 0.6667 0.3333 0.3459  6 F 2.10-2.16
F 0.0000 0.5000 0.5000  2 Cr 2.16
F 0.1735 0.3470 0.8072  1 Cr 2.10
F 0.1735 0.8265 0.8072  1 Cr 2.10
F 0.3470 0.1735 0.1928  1 Cr 2.10
F 0.5000 0.0000 0.5000  2 Cr 2.16
F 0.5000 0.5000 0.5000  2 Cr 2.16
F 0.6530 0.8265 0.8072  1 Cr 2.10
F 0.8265 0.1735 0.1928  1 Cr 2.10
F 0.8265 0.6530 0.1928  1 Cr 2.10

---

Record 2
The following is a GGA+U calculation of a relaxed structure of SrVCr2F8, from the Alexandria database.

Summary:
E_tot	-0.4327	Ry/atom
space-group type	I-4m2
crystal system	tetragonal

Cell: 6.2955 6.2955 6.2955 Å, 110.13 110.13 108.16°
With the nearest neighbours (Å) after each atom.
Sites, in units of the cell vectors:
Sr 0.0000 0.0000 0.0000  8 F 2.39-2.62
V 0.7500 0.2500 0.5000  4 F 2.19
Cr 0.2500 0.7500 0.5000  4 F 1.96
Cr 0.5000 0.5000 0.0000  4 F 2.09
F 0.0448 0.3731 0.3283  1 Cr 1.96
F 0.0448 0.7165 0.6717  1 Cr 1.96
F 0.0950 0.2954 0.7996  1 Cr 2.09, 1 V 2.19
F 0.2835 0.9552 0.3283  1 Cr 1.96
F 0.4958 0.2954 0.2004  1 Cr 2.09, 1 V 2.19
F 0.6269 0.9552 0.6717  1 Cr 1.96
F 0.7046 0.5042 0.7996  1 Cr 2.09, 1 V 2.19
F 0.7046 0.9050 0.2004  1 Cr 2.09, 1 V 2.19

---

Record 3
The following is a GGA+U calculation of a relaxed structure of SrZr2CrF, from the Alexandria database.

Summary:
E_tot	-0.2862	Ry/atom
space-group type	P4/mmm
crystal system	tetragonal

Cell: 5.4453 5.4453 5.2586 Å, 90.00 90.00 90.00°
With the nearest neighbours (Å) after each atom.
Sites, in units of the cell vectors:
Sr 0.0000 0.0000 0.0000  2 Cr 2.63, 4 Zr 2.72
Zr 0.0000 0.5000 0.0000  2 Sr 2.72
Zr 0.5000 0.0000 0.0000  2 Sr 2.72
Cr 0.0000 0.0000 0.5000  2 Sr 2.63
F 0.5000 0.5000 0.5000  8 Zr 3.78, 4 Cr 3.85

---

Record 4
The following is a GGA+U calculation of a relaxed structure of Ta3CrF, from the Alexandria database.

Summary:
E_tot	-0.6296	Ry/atom
space-group type	Pm-3m
crystal system	cubic
energy relative to the lowest polymorph listed for this composition	0	meV per atom

Cell: 4.3387 4.3387 4.3387 Å, 90.00 90.00 90.00°
With the nearest neighbours (Å) after each atom.
Sites, in units of the cell vectors:
Ta 0.0000 0.0000 0.5000  2 F 2.17
Ta 0.0000 0.5000 0.0000  2 F 2.17
Ta 0.5000 0.0000 0.0000  2 F 2.17
Cr 0.5000 0.5000 0.5000  12 Ta 3.07
F 0.0000 0.0000 0.0000  6 Ta 2.17

---

Record 5
The following is a GGA+U calculation of a relaxed structure of TaCrF2, from the Alexandria database.

Summary:
E_tot	-0.4729	Ry/atom
space-group type	R-3m
crystal system	trigonal
energy relative to the lowest polymorph listed for this composition	0	meV per atom

Cell: 2.8430 2.8430 22.4425 Å, 90.00 90.00 120.00°
With the nearest neighbours (Å) after each atom.
Sites, in units of the cell vectors:
Ta 0.0000 0.0000 0.0000  2 F 2.30
Ta 0.3333 0.6667 0.6667  2 F 2.30
Ta 0.6667 0.3333 0.3333  2 F 2.30
Cr 0.0000 0.0000 0.5000  6 F 2.19
Cr 0.3333 0.6667 0.1667  6 F 2.19
Cr 0.6667 0.3333 0.8333  6 F 2.19
F 0.0000 0.0000 0.1023  3 Cr 2.19, 1 Ta 2.30
F 0.0000 0.0000 0.8977  3 Cr 2.19, 1 Ta 2.30
F 0.3333 0.6667 0.5643  3 Cr 2.19, 1 Ta 2.30
F 0.3333 0.6667 0.7690  3 Cr 2.19, 1 Ta 2.30
F 0.6667 0.3333 0.2310  3 Cr 2.19, 1 Ta 2.30
F 0.6667 0.3333 0.4357  3 Cr 2.19, 1 Ta 2.30

---

Record 6
The following is a GGA+U calculation of a relaxed structure of TaCrF2, from the Alexandria database.

Summary:
E_tot	-0.4594	Ry/atom
space-group type	R-3m
crystal system	trigonal
energy relative to the lowest polymorph listed for this composition	185	meV per atom

Cell: 2.8360 2.8360 28.5562 Å, 90.00 90.00 120.00°
With the nearest neighbours (Å) after each atom.
Sites, in units of the cell vectors:
Ta 0.0000 0.0000 0.0000  6 F 2.26
Ta 0.3333 0.6667 0.6667  6 F 2.26
Ta 0.6667 0.3333 0.3333  6 F 2.26
Cr 0.0000 0.0000 0.5000  6 Cr 2.84
Cr 0.3333 0.6667 0.1667  6 Cr 2.84
Cr 0.6667 0.3333 0.8333  6 Cr 2.84
F 0.0000 0.0000 0.3877  3 Ta 2.26
F 0.0000 0.0000 0.6123  3 Ta 2.26
F 0.3333 0.6667 0.0543  3 Ta 2.26
F 0.3333 0.6667 0.2790  3 Ta 2.26
F 0.6667 0.3333 0.7210  3 Ta 2.26
F 0.6667 0.3333 0.9457  3 Ta 2.26

---

Record 7
The following is a GGA+U calculation of a relaxed structure of TaCrF2, from the Alexandria database.

Summary:
E_tot	-0.4245	Ry/atom
space-group type	I-42d
crystal system	tetragonal
energy relative to the lowest polymorph listed for this composition	659	meV per atom

Cell: 5.0549 5.0549 9.3042 Å, 90.00 90.00 90.00°
With the nearest neighbours (Å) after each atom.
Sites, in units of the cell vectors:
Ta 0.0000 0.0000 0.0000  4 F 2.23
Ta 0.0000 0.5000 0.2500  4 F 2.23
Ta 0.5000 0.0000 0.7500  4 F 2.23
Ta 0.5000 0.5000 0.5000  4 F 2.23
Cr 0.0000 0.0000 0.5000  4 F 2.04
Cr 0.0000 0.5000 0.7500  4 F 2.04
Cr 0.5000 0.0000 0.2500  4 F 2.04
Cr 0.5000 0.5000 0.0000  4 F 2.04
F 0.2183 0.2500 0.6250  2 Cr 2.04, 2 Ta 2.23
F 0.2500 0.7183 0.8750  2 Cr 2.04, 2 Ta 2.23
F 0.2500 0.7817 0.3750  2 Cr 2.04, 2 Ta 2.23
F 0.2817 0.2500 0.1250  2 Cr 2.04, 2 Ta 2.23
F 0.7183 0.7500 0.1250  2 Cr 2.04, 2 Ta 2.23
F 0.7500 0.2183 0.3750  2 Cr 2.04, 2 Ta 2.23
F 0.7500 0.2817 0.8750  2 Cr 2.04, 2 Ta 2.23
F 0.7817 0.7500 0.6250  2 Cr 2.04, 2 Ta 2.23

---

Record 8
The following is a GGA+U calculation of a relaxed structure of TaCrF3, from the Alexandria database.

Summary:
E_tot	-0.4229	Ry/atom
space-group type	Pm-3m
crystal system	cubic
energy relative to the lowest polymorph listed for this composition	591	meV per atom

Cell: 4.2066 4.2066 4.2066 Å, 90.00 90.00 90.00°
With the nearest neighbours (Å) after each atom.
Sites, in units of the cell vectors:
Ta 0.0000 0.0000 0.0000  12 F 2.97
Cr 0.5000 0.5000 0.5000  6 F 2.10
F 0.0000 0.5000 0.5000  2 Cr 2.10
F 0.5000 0.0000 0.5000  2 Cr 2.10
F 0.5000 0.5000 0.0000  2 Cr 2.10